{"formula": "CaZr2Ni", "functional": "PBE", "state": "optimized geometry", "crystal_system": "cubic", "dos_at_fermi_per_ev_cell": 7.3, "relative_energy_mev_per_atom": 476, "spacegroup": "Fm-3m", "cell": [[0.0000, 3.4500, 3.4500], [3.4500, 0.0000, 3.4500], [3.4500, 3.4500, 0.0000]], "species": ["Ca", "Zr", "Zr", "Ni"], "frac_coords": [[0.0000, 0.0000, 0.0000], [0.2500, 0.2500, 0.2500], [0.7500, 0.7500, 0.7500], [0.5000, 0.5000, 0.5000]]}